Record 1
This record from the Alexandria database describes Hg2SbAs after structural relaxation. The functional is GGA-PBE.

```
data_Hg2SbAs
_cell_length_a 5.159
_cell_length_b 5.159
_cell_length_c 5.159
_cell_angle_alpha 60.00
_cell_angle_beta 60.00
_cell_angle_gamma 60.00
_symmetry_space_group_name_H-M 'P 1'
_symmetry_Int_Tables_number 1
_symmetry_space_group_name_Hall 'P 1'
loop_
_atom_site_label
_atom_site_type_symbol
_atom_site_fract_x
_atom_site_fract_y
_atom_site_fract_z
Hg1 Hg 0.250 0.250 0.250
Hg2 Hg 0.750 0.750 0.750
Sb1 Sb 0.000 0.000 0.000
As1 As 0.500 0.500 0.500
```

## Properties
* total magnetic moment: 0.00 μB per cell
* raw formation energy: 0.39 eV/atom

Record 2
This record from the Alexandria database describes Ta2HgPb after structural relaxation. The functional is GGA-PBE.

```
data_Ta2HgPb
_cell_length_a 3.072
_cell_length_b 3.072
_cell_length_c 8.677
_cell_angle_alpha 90.00
_cell_angle_beta 90.00
_cell_angle_gamma 90.00
_symmetry_space_group_name_H-M 'P 1'
_symmetry_Int_Tables_number 1
_symmetry_space_group_name_Hall 'P 1'
loop_
_atom_site_label
_atom_site_type_symbol
_atom_site_fract_x
_atom_site_fract_y
_atom_site_fract_z
Ta1 Ta 0.000 0.000 0.238
Ta2 Ta 0.000 0.000 0.762
Hg1 Hg 0.500 0.500 0.000
Pb1 Pb 0.500 0.500 0.500
```

## Properties
* DFT formation energy: 0.6155 eV/atom
* total magnetic moment: 0.00 μB per cell

Record 3
This record from the Alexandria database describes K2NbIO6 after structural relaxation. The functional is GGA-PBE.

```
data_K2NbIO6
_cell_length_a 5.843
_cell_length_b 5.843
_cell_length_c 5.843
_cell_angle_alpha 60.00
_cell_angle_beta 60.00
_cell_angle_gamma 60.00
_symmetry_space_group_name_H-M 'P 1'
_symmetry_Int_Tables_number 1
_symmetry_space_group_name_Hall 'P 1'
loop_
_atom_site_label
_atom_site_type_symbol
_atom_site_fract_x
_atom_site_fract_y
_atom_site_fract_z
K1 K 0.250 0.250 0.250
K2 K 0.750 0.750 0.750
Nb1 Nb 0.000 0.000 0.000
I1 I 0.500 0.500 0.500
O1 O 0.245 0.245 0.755
O2 O 0.245 0.755 0.245
O3 O 0.245 0.755 0.755
O4 O 0.755 0.245 0.245
O5 O 0.755 0.245 0.755
O6 O 0.755 0.755 0.245
```

## Properties
* total magnetic moment: 0.00 μB per cell
* raw formation energy: -1.55 eV/atom

Record 4
This record from the Alexandria database describes Sr3Ca2 after structural relaxation. The functional is GGA-PBE.

```
data_Sr3Ca2
_cell_length_a 8.003
_cell_length_b 8.003
_cell_length_c 8.003
_cell_angle_alpha 90.06
_cell_angle_beta 90.06
_cell_angle_gamma 90.06
_symmetry_space_group_name_H-M 'P 1'
_symmetry_Int_Tables_number 1
_symmetry_space_group_name_Hall 'P 1'
loop_
_atom_site_label
_atom_site_type_symbol
_atom_site_fract_x
_atom_site_fract_y
_atom_site_fract_z
Sr1 Sr 0.075 0.750 0.425
Sr2 Sr 0.250 0.575 0.925
Sr3 Sr 0.425 0.075 0.750
Sr4 Sr 0.575 0.925 0.250
Sr5 Sr 0.750 0.425 0.075
Sr6 Sr 0.925 0.250 0.575
Ca1 Ca 0.125 0.125 0.125
Ca2 Ca 0.375 0.375 0.375
Ca3 Ca 0.625 0.625 0.625
Ca4 Ca 0.875 0.875 0.875
```

## Properties
* DFT formation energy: 0.1151 eV/atom
* total magnetic moment: 0.01 μB per cell

Record 5
This record from the Alexandria database describes Ca2Pm4Co after structural relaxation. The functional is GGA-PBE.

```
data_Ca2Pm4Co
_cell_length_a 9.773
_cell_length_b 9.773
_cell_length_c 9.773
_cell_angle_alpha 148.19
_cell_angle_beta 148.19
_cell_angle_gamma 45.61
_symmetry_space_group_name_H-M 'P 1'
_symmetry_Int_Tables_number 1
_symmetry_space_group_name_Hall 'P 1'
loop_
_atom_site_label
_atom_site_type_symbol
_atom_site_fract_x
_atom_site_fract_y
_atom_site_fract_z
Ca1 Ca 0.152 0.152 0.000
Ca2 Ca 0.848 0.848 0.000
Pm1 Pm 0.000 0.500 0.500
Pm2 Pm 0.351 0.351 0.000
Pm3 Pm 0.500 0.000 0.500
Pm4 Pm 0.649 0.649 0.000
Co1 Co 0.500 0.500 0.000
```

## Properties
* DFT formation energy: 0.1732 eV/atom
* total magnetic moment: 0.00 μB per cell

Record 6
This record from the Alexandria database describes YB2Pt7 after structural relaxation. The functional is GGA-PBE.

```
data_YB2Pt7
_cell_length_a 6.630
_cell_length_b 6.630
_cell_length_c 4.183
_cell_angle_alpha 90.00
_cell_angle_beta 90.00
_cell_angle_gamma 115.03
_symmetry_space_group_name_H-M 'P 1'
_symmetry_Int_Tables_number 1
_symmetry_space_group_name_Hall 'P 1'
loop_
_atom_site_label
_atom_site_type_symbol
_atom_site_fract_x
_atom_site_fract_y
_atom_site_fract_z
Y1 Y 0.000 0.000 0.000
B1 B 0.308 0.692 0.500
B2 B 0.692 0.308 0.500
Pt1 Pt 0.064 0.330 0.500
Pt2 Pt 0.263 0.737 0.000
Pt3 Pt 0.330 0.064 0.500
Pt4 Pt 0.500 0.500 0.500
Pt5 Pt 0.670 0.936 0.500
Pt6 Pt 0.737 0.263 0.000
Pt7 Pt 0.936 0.670 0.500
```

## Properties
* DFT formation energy: -0.3280 eV/atom
* total magnetic moment: 0.00 μB per cell

Record 7
This record from the Alexandria database describes PmHoFe after structural relaxation. The functional is GGA-PBE.

```
data_PmHoFe
_cell_length_a 6.957
_cell_length_b 6.957
_cell_length_c 7.351
_cell_angle_alpha 90.00
_cell_angle_beta 90.00
_cell_angle_gamma 120.30
_symmetry_space_group_name_H-M 'P 1'
_symmetry_Int_Tables_number 1
_symmetry_space_group_name_Hall 'P 1'
loop_
_atom_site_label
_atom_site_type_symbol
_atom_site_fract_x
_atom_site_fract_y
_atom_site_fract_z
Pm1 Pm 0.198 0.802 0.887
Pm2 Pm 0.302 0.698 0.387
Pm3 Pm 0.698 0.302 0.613
Pm4 Pm 0.802 0.198 0.113
Ho1 Ho 0.208 0.292 0.750
Ho2 Ho 0.292 0.208 0.250
Ho3 Ho 0.708 0.792 0.750
Ho4 Ho 0.792 0.708 0.250
Fe1 Fe 0.091 0.909 0.542
Fe2 Fe 0.409 0.591 0.042
Fe3 Fe 0.591 0.409 0.958
Fe4 Fe 0.909 0.091 0.458
```

## Properties
* DFT formation energy: 0.0660 eV/atom
* total magnetic moment: 3.22 μB per cell

Record 8
This record from the Alexandria database describes SbIr2Br after structural relaxation. The functional is GGA-PBE.

```
data_SbIr2Br
_cell_length_a 7.072
_cell_length_b 7.072
_cell_length_c 7.072
_cell_angle_alpha 131.05
_cell_angle_beta 131.05
_cell_angle_gamma 71.73
_symmetry_space_group_name_H-M 'P 1'
_symmetry_Int_Tables_number 1
_symmetry_space_group_name_Hall 'P 1'
loop_
_atom_site_label
_atom_site_type_symbol
_atom_site_fract_x
_atom_site_fract_y
_atom_site_fract_z
Sb1 Sb 0.000 0.000 0.000
Sb2 Sb 0.750 0.250 0.500
Ir1 Ir 0.138 0.625 0.013
Ir2 Ir 0.375 0.388 0.513
Ir3 Ir 0.612 0.125 0.987
Ir4 Ir 0.875 0.862 0.487
Br1 Br 0.250 0.750 0.500
Br2 Br 0.500 0.500 0.000
```

## Properties
* total magnetic moment: 0.00 μB per cell
* raw formation energy: 0.72 eV/atom

Number 1: DOS at the Fermi energy 3.32 states/eV/f.u.. Number 2: DOS at the Fermi energy 2.17 states/eV/f.u.. Number 3: DOS at the Fermi energy 0.00 states/eV/f.u.. Number 4: DOS at the Fermi energy 8.47 states/eV/f.u.. Number 5: DOS at the Fermi energy 8.61 states/eV/f.u.. Number 6: DOS at the Fermi energy 4.37 states/eV/f.u.. Number 7: DOS at the Fermi energy 3.62 states/eV/f.u.. Number 8: DOS at the Fermi energy 3.15 states/eV/f.u..